UGaNiO6 (PBE with a Hubbard U, optimized geometry); spin magnetization = 0.107 μB/atom; theoretical density = 7.230 g/cm³; E = -7.083 eV per atom; D(E_F) = 0.516 states/eV/atom
1.0
-2.0350 -4.7415 -0.9653
3.3710 0.6504 3.9709
-6.7890 1.8005 5.4684
O Ga U Ni
12 2 2 2
direct
0.3418 0.0096 0.6290
0.6678 0.6582 0.6290
0.3322 0.9904 0.1290
0.3418 0.3322 0.8710
0.9904 0.6582 0.8710
0.6582 0.6678 0.1290
0.9904 0.3322 0.6290
0.0096 0.3418 0.1290
0.6582 0.9904 0.3710
0.6678 0.0096 0.8710
0.0096 0.6678 0.3710
0.3322 0.3418 0.3710
0.3333 0.6667 0.2500
0.6667 0.3333 0.7500
0.6667 0.3333 0.2500
0.3333 0.6667 0.7500
0.0000 0.0000 0.5000
0.0000 0.0000 0.0000